(1)
InSiCl2 | PBE-GGA | optimized geometry

Computed properties:
Its electronic total energy is -0.1095 hartree per atom. Its calculated volume is 100 Å³/cell. The symmetry is No. 119. Its magnetization is 0.69 Bohr magnetons per cell. The value obtained for the uncorrected formation energy is -0.07 eV per formula unit. The value obtained for the energy above the lowest structure with this stoichiometry is 0.4203 eV per atom.

a b c (Å): 6.6335 6.6335 6.6335
angles (deg): 144.12 144.12 51.65
Atoms (fractional coordinates):
In 0.0000 0.0000 0.0000
Si 0.2500 0.7500 0.5000
Cl 0.5000 0.5000 0.0000
Cl 0.7500 0.2500 0.5000

***

(2)
InSi2Cl | PBE-GGA | optimized geometry

Computed properties:
Its electronic total energy is -0.1293 hartree per atom. Its calculated volume is 81 Å³/cell. The symmetry is No. 47. Its magnetization is 0.00 Bohr magnetons per cell. The value obtained for the uncorrected formation energy is 1.36 eV per formula unit. The value obtained for the energy above the lowest structure with this stoichiometry is 0.4095 eV per atom.

a b c (Å): 3.1080 5.0100 5.1883
angles (deg): 90.00 90.00 90.00
Atoms (fractional coordinates):
In 0.0000 0.0000 0.0000
Si 0.0000 0.5000 0.5000
Si 0.5000 0.0000 0.5000
Cl 0.5000 0.5000 0.0000

***

(3)
InSiTe2Cl | PBE-GGA | optimized geometry

Computed properties:
Its electronic total energy is -0.1053 hartree per atom. Its calculated volume is 162 Å³/cell. The symmetry is No. 123. Its magnetization is 0.00 Bohr magnetons per cell. The value obtained for the uncorrected formation energy is 1.96 eV per formula unit.

a b c (Å): 5.7144 5.7144 4.9693
angles (deg): 90.00 90.00 90.00
Atoms (fractional coordinates):
In 0.0000 0.0000 0.0000
Si 0.5000 0.5000 0.5000
Te 0.0000 0.5000 0.0000
Te 0.5000 0.0000 0.0000
Cl 0.0000 0.0000 0.5000

***

(4)
SmIn2Cl5 | PBE-GGA | optimized geometry

Computed properties:
Its electronic total energy is -0.1470 hartree per atom. Its calculated volume is 940 Å³/cell. The symmetry is No. 62. Its magnetization is 0.00 Bohr magnetons per cell. The value obtained for the uncorrected formation energy is -12.58 eV per formula unit.

a b c (Å): 13.0163 8.7124 8.2879
angles (deg): 90.00 90.00 90.00
Atoms (fractional coordinates):
Sm 0.0046 0.2500 0.0745
Sm 0.4954 0.7500 0.5745
Sm 0.5046 0.2500 0.4255
Sm 0.9954 0.7500 0.9255
In 0.1726 0.0047 0.5526
In 0.1726 0.4953 0.5526
In 0.3274 0.5047 0.0526
In 0.3274 0.9953 0.0526
In 0.6726 0.0047 0.9474
In 0.6726 0.4953 0.9474
In 0.8274 0.5047 0.4474
In 0.8274 0.9953 0.4474
Cl 0.0078 0.2500 0.4102
Cl 0.0712 0.5448 0.1623
Cl 0.0712 0.9552 0.1623
Cl 0.1826 0.2500 0.8960
Cl 0.2006 0.7500 0.8440
Cl 0.2994 0.2500 0.3440
Cl 0.3174 0.7500 0.3960
Cl 0.4288 0.0448 0.6623
Cl 0.4288 0.4552 0.6623
Cl 0.4922 0.7500 0.9102
Cl 0.5078 0.2500 0.0898
Cl 0.5712 0.5448 0.3377
Cl 0.5712 0.9552 0.3377
Cl 0.6826 0.2500 0.6040
Cl 0.7006 0.7500 0.6560
Cl 0.7994 0.2500 0.1560
Cl 0.8174 0.7500 0.1040
Cl 0.9288 0.0448 0.8377
Cl 0.9288 0.4552 0.8377
Cl 0.9922 0.7500 0.5898

***

(5)
SmInCl4 | PBE-GGA | optimized geometry

Computed properties:
Its electronic total energy is -0.1565 hartree per atom. Its calculated volume is 410 Å³/cell. The symmetry is No. 15. Its magnetization is 0.00 Bohr magnetons per cell. The value obtained for the uncorrected formation energy is -10.71 eV per formula unit.

a b c (Å): 8.9812 8.9812 7.4862
angles (deg): 103.17 103.17 44.41
Atoms (fractional coordinates):
Sm 0.0000 0.5000 0.0000
Sm 0.5000 0.0000 0.5000
In 0.2313 0.7687 0.7500
In 0.7687 0.2313 0.2500
Cl 0.0055 0.1926 0.9628
Cl 0.1926 0.0055 0.4628
Cl 0.2466 0.3676 0.3311
Cl 0.3676 0.2466 0.8311
Cl 0.6324 0.7534 0.1689
Cl 0.7534 0.6324 0.6689
Cl 0.8074 0.9945 0.5372
Cl 0.9945 0.8074 0.0372

***

(6)
SmIn3Cl6 | PBE-GGA | optimized geometry

Computed properties:
Its electronic total energy is -0.1402 hartree per atom. Its calculated volume is 675 Å³/cell. The symmetry is No. 14. Its magnetization is 0.00 Bohr magnetons per cell. The value obtained for the uncorrected formation energy is -14.12 eV per formula unit.

a b c (Å): 7.3953 8.3888 12.7831
angles (deg): 90.00 121.67 90.00
Atoms (fractional coordinates):
Sm 0.0000 0.0000 0.0000
Sm 0.0000 0.5000 0.5000
In 0.2984 0.0716 0.7740
In 0.2984 0.4284 0.2740
In 0.5000 0.0000 0.5000
In 0.5000 0.5000 0.0000
In 0.7016 0.5716 0.7260
In 0.7016 0.9284 0.2260
Cl 0.0936 0.0725 0.2308
Cl 0.0936 0.4275 0.7308
Cl 0.2476 0.7350 0.0860
Cl 0.2476 0.7650 0.5860
Cl 0.3480 0.1609 0.0362
Cl 0.3480 0.3391 0.5362
Cl 0.6520 0.6609 0.4638
Cl 0.6520 0.8391 0.9638
Cl 0.7524 0.2350 0.4140
Cl 0.7524 0.2650 0.9140
Cl 0.9064 0.5725 0.2692
Cl 0.9064 0.9275 0.7692

***

> What is the magnetization in the fourth record?

0.00 Bohr magnetons per cell